# 1
# MnSiSb2Te

Crystalline MnSiSb2Te at its relaxed geometry (GGA-PBEsol, the Alexandria database).

Output
Total energy = -0.1821 hartree per atom
Size of the total moment = 2.0 Bohr magnetons per cell
E_form (uncorrected) = 0.673 eV/atom

Cell and atoms, written as extended XYZ:
```
5
Lattice="4.8461 0.0000 0.0000 0.0000 4.8461 0.0000 0.0000 0.0000 5.1847" Properties=species:S:1:pos:R:3 pbc="T T T"
Mn 0.0000 0.0000 0.0000
Sb 2.4231 0.0000 0.0000
Si 2.4231 2.4231 2.5924
Sb 0.0000 2.4231 0.0000
Te 0.0000 0.0000 2.5924
```

=====

# 2
# Be2ReP

Crystalline Be2ReP at its relaxed geometry (GGA-PBEsol, the Alexandria database).

Output
Formation enthalpy at 0 K = -0.182 eV per atom
Total energy = -0.2559 hartree per atom
Size of the total moment = 0.0 Bohr magnetons per cell

Cell and atoms, written as extended XYZ:
```
4
Lattice="3.0542 0.0000 0.0000 0.0000 3.0542 0.0000 0.0000 0.0000 4.6237" Properties=species:S:1:pos:R:3 pbc="T T T"
Be 0.0000 0.0000 3.4585
P 1.5271 1.5271 0.0000
Be 0.0000 0.0000 1.1652
Re 1.5271 1.5271 2.3118
```

=====

# 3
# HfFeO2

Crystalline HfFeO2 at its relaxed geometry (GGA-PBEsol, the Alexandria database).

Output
Total energy = -0.3393 hartree per atom
Size of the total moment = 4.0 Bohr magnetons per cell
E_form (uncorrected) = -1.743 eV/atom

Cell and atoms, written as extended XYZ:
```
8
Lattice="-2.4054 1.4138 2.8919 0.7087 -3.2889 2.1974 5.4028 3.5852 -0.0507" Properties=species:S:1:pos:R:3 pbc="T T T"
Fe -0.8483 -0.9375 2.5446
O 1.0506 -1.4406 3.0164
O -0.4700 0.8893 3.3198
Fe 1.0745 2.0307 2.6929
Hf 0.0000 0.0000 0.0000
O 3.8454 2.4296 0.6148
O 2.9863 1.5419 3.1260
Hf 2.6316 -0.3206 2.3456
```

=====

# 4
# Al3Ir4

Crystalline Al3Ir4 at its relaxed geometry (GGA-PBEsol, the Alexandria database).

Output
Formation enthalpy at 0 K = -0.390 eV per atom
Total energy = -0.2851 hartree per atom
Size of the total moment = 0.0 Bohr magnetons per cell

Cell and atoms, written as extended XYZ:
```
7
Lattice="3.0282 0.0000 0.0000 0.0000 3.0282 0.0000 -1.5141 -1.5141 10.6391" Properties=species:S:1:pos:R:3 pbc="T T T"
Ir 0.0000 0.0000 9.2121
Ir 1.5141 1.5141 1.4271
Al 1.5141 1.5141 4.5297
Al 0.0000 0.0000 6.1094
Ir 1.5141 1.5141 7.2844
Ir 0.0000 0.0000 3.3548
Al 0.0000 0.0000 0.0000
```

=====

# 5
# NaInI2O

Crystalline NaInI2O at its relaxed geometry (GGA-PBEsol, the Alexandria database).

Output
Total energy = -0.1010 hartree per atom
Size of the total moment = 1.7 Bohr magnetons per cell
E_form (uncorrected) = -0.116 eV/atom

Cell and atoms, written as extended XYZ:
```
5
Lattice="-3.0168 2.9618 0.7027 0.3196 -1.0473 5.7864 4.1706 4.1256 0.5163" Properties=species:S:1:pos:R:3 pbc="T T T"
In 0.7367 3.0201 3.5027
I 0.1598 -0.5236 2.8932
I 2.0853 2.0628 0.2582
Na 0.0000 0.0000 0.0000
O -1.5084 1.4809 0.3513
```

=====

# 6
# Sr2BeBr

Crystalline Sr2BeBr at its relaxed geometry (GGA-PBEsol, the Alexandria database).

Output
Total energy = -0.1047 hartree per atom
Size of the total moment = 0.4 Bohr magnetons per cell
E_form (uncorrected) = -0.463 eV/atom

Cell and atoms, written as extended XYZ:
```
4
Lattice="-1.5951 1.6476 -3.5649 -2.8075 -2.2068 -2.2837 -7.5184 3.1257 2.2888" Properties=species:S:1:pos:R:3 pbc="T T T"
Be 0.0000 0.0000 0.0000
Sr -2.8522 0.5715 -0.9797
Sr -9.0689 1.9950 -2.5801
Br -5.9605 1.2833 -1.7799
```